1.
Here is TbTm2Mg3Pt3 after structural relaxation from OQMD via LeMat-Bulk. Energies are from PBE.

Calculated values
Crystal system: orthorhombic
Volume in Å³ per cell: 376
Total energy in eV per cell: -90.28

Unit cell a=4.0578 b=12.6791 c=7.3033 alpha=90.00 beta=90.00 gamma=90.00
Closest atoms and distances in Å follow each position.
Space group Amm2 (No. 38)
One atom of each set of equivalent atoms:
Tb 0.0000 0.0000 0.0000 (multiplicity 2)  5 Pt 3.02, 6 Mg 3.22-3.32
Tm 0.0000 0.2041 0.6154 (multiplicity 4)  5 Pt 2.98-2.99, 6 Mg 3.24-3.30
Mg 0.5000 0.0000 0.6568 (multiplicity 2)  4 Pt 2.69-2.83
Mg 0.5000 0.1234 0.2883 (multiplicity 4)  4 Pt 2.72-2.82
Pt 0.0000 0.0000 0.4140 (multiplicity 2)  6 Mg 2.69-2.72, 2 Tm 2.98
Pt 0.5000 0.1689 0.9098 (multiplicity 4)  3 Mg 2.78-2.83, 4 Tm 2.99, 2 Tb 3.02



2.
Here is PrGdTe2As2 after structural relaxation from OQMD via LeMat-Bulk. Energies are from PBE.

Calculated values
Crystal system: tetragonal
Volume in Å³ per cell: 160
Total energy in eV per cell: -32.00

Unit cell a=4.1475 b=4.1475 c=9.2904 alpha=90.00 beta=90.00 gamma=90.00
Closest atoms and distances in Å follow each position.
Space group P4mm (No. 99)
One atom of each set of equivalent atoms:
Pr 0.0000 0.0000 0.0000 (multiplicity 1)  5 Te 3.17-3.49, 4 As 3.18
Gd 0.5000 0.5000 0.4919 (multiplicity 1)  4 As 3.10, 5 Te 3.12-3.37
Te 0.0000 0.0000 0.3759 (multiplicity 1)  4 Gd 3.12, 1 Pr 3.49
Te 0.5000 0.5000 0.1287 (multiplicity 1)  4 Pr 3.17, 1 Gd 3.37
As 0.0000 0.5000 0.7405 (multiplicity 2)  4 As 2.93, 2 Gd 3.10, 2 Pr 3.18



3.
Here is NaAgSb after structural relaxation from OQMD via LeMat-Bulk. Energies are from PBE.

Calculated values
Crystal system: cubic
Volume in Å³ per cell: 307
Total energy in eV per cell: -30.18

Unit cell a=6.7467 b=6.7467 c=6.7467 alpha=90.00 beta=90.00 gamma=90.00
Closest atoms and distances in Å follow each position.
Space group F-43m (No. 216)
One atom of each set of equivalent atoms:
Na 0.0000 0.0000 0.0000 (multiplicity 4)  4 Sb 2.92, 4 Ag 2.92
Ag 0.2500 0.2500 0.7500 (multiplicity 4)  4 Na 2.92
Sb 0.2500 0.2500 0.2500 (multiplicity 4)  4 Na 2.92



4.
Here is HoIr2 after structural relaxation from OQMD via LeMat-Bulk. Energies are from PBE.

Calculated values
Crystal system: cubic
Energy of formation from the pure elements in eV/atom: -0.82
Volume in Å³ per cell: 426
Total energy in eV per cell: -198.01

Unit cell a=7.5264 b=7.5264 c=7.5264 alpha=90.00 beta=90.00 gamma=90.00
Closest atoms and distances in Å follow each position.
Space group Fd-3m (No. 227, origin choice 2)
One atom of each set of equivalent atoms:
Ho 0.1250 0.1250 0.1250 (multiplicity 8)  12 Ir 3.12, 4 Ho 3.26
Ir 0.0000 0.0000 0.5000 (multiplicity 16)  6 Ir 2.66



5.
Here is Er5Te3Os after structural relaxation from OQMD via LeMat-Bulk. Energies are from PBE.

Calculated values
Crystal system: hexagonal
Volume in Å³ per cell: 242
Total energy in eV per cell: -48.50

Unit cell a=8.6226 b=8.6226 c=3.7556 alpha=90.00 beta=90.00 gamma=120.00
Closest atoms and distances in Å follow each position.
Space group P-62m (No. 189)
One atom of each set of equivalent atoms:
Er 0.0000 0.2294 0.0000 (multiplicity 3)  2 Os 2.73
Er 0.3333 0.6667 0.0000 (multiplicity 2)  6 Te 3.18, 3 Er 3.41
Te 0.0000 0.5699 0.5000 (multiplicity 3)  6 Er 3.18-3.49
Os 0.0000 0.0000 0.5000 (multiplicity 1)  6 Er 2.73



6.
Here is Sr2LiTaO6 after structural relaxation from OQMD via LeMat-Bulk. Energies are from PBE.

Calculated values
Crystal system: tetragonal
Volume in Å³ per cell: 249
Total energy in eV per cell: -141.16

Unit cell a=5.6017 b=5.6017 c=7.9257 alpha=90.00 beta=90.00 gamma=90.00
Closest atoms and distances in Å follow each position.
Space group I4/m (No. 87)
One atom of each set of equivalent atoms:
Sr 0.0000 0.5000 0.2500 (multiplicity 4)  12 O 2.77-2.84
Li 0.0000 0.0000 0.0000 (multiplicity 2)  6 O 1.99
Ta 0.0000 0.0000 0.5000 (multiplicity 2)  6 O 1.97
O 0.0000 0.0000 0.2517 (multiplicity 4)  1 Ta 1.97, 1 Li 1.99
O 0.2422 0.2550 0.5000 (multiplicity 8)  1 Ta 1.97, 1 Li 1.99



7.
Here is Lu4TeC2S after structural relaxation from OQMD via LeMat-Bulk. Energies are from PBE.

Calculated values
Crystal system: hexagonal
Volume in Å³ per cell: 153
Total energy in eV per cell: -52.64

Unit cell a=3.6604 b=3.6604 c=13.1838 alpha=90.00 beta=90.00 gamma=120.00
Closest atoms and distances in Å follow each position.
Space group P-6m2 (No. 187)
One atom of each set of equivalent atoms:
Lu 0.0000 0.0000 0.1386 (multiplicity 2)  3 C 2.48
Lu 0.3333 0.6667 0.3315 (multiplicity 2)  3 C 2.45
Te 0.0000 0.0000 0.5000 (multiplicity 1)  6 Lu 3.07
C 0.6667 0.3333 0.2375 (multiplicity 2)  6 Lu 2.45-2.48
S 0.3333 0.6667 0.0000 (multiplicity 1)  6 Lu 2.79



8.
Here is TbThSn after structural relaxation from OQMD via LeMat-Bulk. Energies are from PBE.

Calculated values
Crystal system: cubic
Volume in Å³ per cell: 399
Total energy in eV per cell: -66.57

Unit cell a=7.3621 b=7.3621 c=7.3621 alpha=90.00 beta=90.00 gamma=90.00
Closest atoms and distances in Å follow each position.
Space group F-43m (No. 216)
One atom of each set of equivalent atoms:
Tb 0.0000 0.0000 0.0000 (multiplicity 4)  4 Sn 3.19
Th 0.0000 0.0000 0.5000 (multiplicity 4)  4 Sn 3.19
Sn 0.2500 0.2500 0.2500 (multiplicity 4)  4 Tb 3.19, 4 Th 3.19



9.
Here is CuNiBOs after structural relaxation from OQMD via LeMat-Bulk. Energies are from PBE.

Calculated values
Crystal system: cubic
Volume in Å³ per cell: 180
Total energy in eV per cell: -94.50

Unit cell a=5.6484 b=5.6484 c=5.6484 alpha=90.00 beta=90.00 gamma=90.00
Closest atoms and distances in Å follow each position.
Space group F-43m (No. 216)
One atom of each set of equivalent atoms:
Cu 0.0000 0.0000 0.0000 (multiplicity 4)  4 Os 2.45, 4 B 2.45
Ni 0.0000 0.0000 0.5000 (multiplicity 4)  4 B 2.45, 4 Os 2.45
B 0.2500 0.2500 0.7500 (multiplicity 4)  4 Ni 2.45, 4 Cu 2.45
Os 0.2500 0.2500 0.2500 (multiplicity 4)  4 Ni 2.45, 4 Cu 2.45



10.
Here is ZrTe3PdPb after structural relaxation from OQMD via LeMat-Bulk. Energies are from PBE.

Calculated values
Crystal system: monoclinic
Volume in Å³ per cell: 333
Total energy in eV per cell: -60.96

Unit cell a=8.2388 b=4.0953 c=10.4721 alpha=90.00 beta=109.58 gamma=90.00
Closest atoms and distances in Å follow each position.
Space group P2_1/m (No. 11)
One atom of each set of equivalent atoms:
Zr 0.2176 0.2500 0.1875 (multiplicity 2)  6 Te 2.85-3.04, 2 Pd 3.03
Te 0.0664 0.2500 0.8800 (multiplicity 2)  3 Zr 3.01-3.04, 2 Pb 3.27
Te 0.2257 0.2500 0.4615 (multiplicity 2)  3 Pd 2.82, 1 Zr 2.85
Te 0.4425 0.7500 0.1440 (multiplicity 2)  1 Pd 2.68, 2 Zr 2.90
Pd 0.4174 0.7500 0.3929 (multiplicity 2)  4 Te 2.68-2.82
Pb 0.2128 0.7500 0.7008 (multiplicity 2)  7 Te 3.27-3.44



11.
Here is SmGeH2O4 after structural relaxation from OQMD via LeMat-Bulk. Energies are from PBE.

Calculated values
Crystal system: monoclinic
Volume in Å³ per cell: 375
Total energy in eV per cell: -199.27

Unit cell a=5.0141 b=6.2595 c=12.2679 alpha=90.00 beta=102.98 gamma=90.00
Closest atoms and distances in Å follow each position.
Space group P2_1/c (No. 14)
One atom of each set of equivalent atoms:
Sm 0.0563 0.2107 0.3443 (multiplicity 4)  6 O 2.28-2.53
Ge 0.2981 0.2107 0.1078 (multiplicity 4)  4 O 1.78-1.99
H 0.3337 0.7432 0.5004 (multiplicity 4)  1 O 1.03
H 0.4863 0.0352 0.7487 (multiplicity 4)  1 O 1.06
O 0.0325 0.7415 0.9794 (multiplicity 4)  1 H 1.48
O 0.2270 0.5061 0.7130 (multiplicity 4)  1 H 1.42
O 0.2745 0.0601 0.7181 (multiplicity 4)  1 H 1.06
O 0.4554 0.2439 0.9751 (multiplicity 4)  1 H 1.03



12.
Here is RbCuIrS3 after structural relaxation from OQMD via LeMat-Bulk. Energies are from PBE.

Calculated values
Crystal system: orthorhombic
Volume in Å³ per cell: 511
Total energy in eV per cell: -114.65

Unit cell a=3.6937 b=14.7120 c=9.4094 alpha=90.00 beta=90.00 gamma=90.00
Closest atoms and distances in Å follow each position.
Space group Cmcm (No. 63)
One atom of each set of equivalent atoms:
Rb 0.0000 0.2477 0.2500 (multiplicity 4)  8 S 3.37-3.48, 2 Cu 3.66, 2 Rb 3.69
Cu 0.0000 0.4668 0.7500 (multiplicity 4)  4 S 2.25-2.31
Ir 0.0000 0.0000 0.0000 (multiplicity 4)  6 S 2.43-2.52
S 0.0000 0.0610 0.7500 (multiplicity 4)  2 Cu 2.31, 2 Ir 2.52
S 0.0000 0.3959 0.5385 (multiplicity 8)  1 Cu 2.25, 2 Ir 2.43



13.
Here is SrLu2Mo after structural relaxation from OQMD via LeMat-Bulk. Energies are from PBE.

Calculated values
Crystal system: cubic
Volume in Å³ per cell: 420
Total energy in eV per cell: -74.51

Unit cell a=7.4881 b=7.4881 c=7.4881 alpha=90.00 beta=90.00 gamma=90.00
Closest atoms and distances in Å follow each position.
Space group F-43m (No. 216)
One atom of each set of equivalent atoms:
Sr 0.0000 0.0000 0.0000 (multiplicity 4)  4 Lu 3.24, 4 Mo 3.24
Lu 0.0000 0.0000 0.5000 (multiplicity 4)  4 Mo 3.24, 4 Lu 3.24
Lu 0.2500 0.2500 0.7500 (multiplicity 4)  4 Sr 3.24, 4 Lu 3.24
Mo 0.2500 0.2500 0.2500 (multiplicity 4)  4 Sr 3.24, 4 Lu 3.24



14.
Here is YB4Ir after structural relaxation from OQMD via LeMat-Bulk. Energies are from PBE.

Calculated values
Crystal system: orthorhombic
Volume in Å³ per cell: 248
Total energy in eV per cell: -182.24

Unit cell a=5.9760 b=11.6000 c=3.5717 alpha=90.00 beta=90.00 gamma=90.00
Closest atoms and distances in Å follow each position.
Space group Pbam (No. 55)
One atom of each set of equivalent atoms:
Y 0.1314 0.1483 0.0000 (multiplicity 4)  14 B 2.63-2.78
B 0.0250 0.6918 0.5000 (multiplicity 4)  3 B 1.77-1.89
B 0.1125 0.5464 0.5000 (multiplicity 4)  3 B 1.72-1.77
B 0.1363 0.9692 0.5000 (multiplicity 4)  3 B 1.75-1.87
B 0.2084 0.8126 0.5000 (multiplicity 4)  3 B 1.78-1.89
Ir 0.1439 0.4032 0.0000 (multiplicity 4)  10 B 2.25-2.45



15.
Here is PdSe8Cl2 after structural relaxation from OQMD via LeMat-Bulk. Energies are from PBE.

Calculated values
Crystal system: orthorhombic
Volume in Å³ per cell: 1330
Total energy in eV per cell: -154.63

Unit cell a=9.2022 b=14.3094 c=10.1018 alpha=90.00 beta=90.00 gamma=90.00
Closest atoms and distances in Å follow each position.
Space group Pbca (No. 61)
One atom of each set of equivalent atoms:
Pd 0.0000 0.0000 0.0000 (multiplicity 4)  2 Cl 2.34, 2 Se 2.45
Se 0.0774 0.1218 0.3811 (multiplicity 8)  2 Se 2.33-2.38
Se 0.0898 0.2198 0.1968 (multiplicity 8)  2 Se 2.33-2.46
Se 0.1296 0.5259 0.1547 (multiplicity 8)  2 Se 2.38-2.40
Se 0.1957 0.1142 0.0307 (multiplicity 8)  2 Se 2.40-2.46, 1 Pd 2.45
Cl 0.0906 0.6040 0.6583 (multiplicity 8)  1 Pd 2.34



16.
Here is DyPtNO after structural relaxation from OQMD via LeMat-Bulk. Energies are from PBE.

Calculated values
Crystal system: orthorhombic
Volume in Å³ per cell: 124
Total energy in eV per cell: -56.68

Unit cell a=3.7110 b=6.2707 c=5.3079 alpha=90.00 beta=90.00 gamma=90.00
Closest atoms and distances in Å follow each position.
Space group Pmc2_1 (No. 26)
One atom of each set of equivalent atoms:
Dy 0.0000 0.2489 0.0000 (multiplicity 2)  2 O 2.12
Pt 0.5000 0.3420 0.4930 (multiplicity 2)  2 N 1.86
N 0.0000 0.3392 0.4901 (multiplicity 2)  2 Pt 1.86
O 0.5000 0.0937 0.9361 (multiplicity 2)  2 Dy 2.12



17.
Here is ZnAgF6 after structural relaxation from OQMD via LeMat-Bulk. Energies are from PBE.

Calculated values
Crystal system: triclinic
Volume in Å³ per cell: 91
Total energy in eV per cell: -25.66

Unit cell a=4.8092 b=4.8093 c=5.3205 alpha=63.19 beta=63.28 gamma=60.08
Closest atoms and distances in Å follow each position.
Space group P-1 (No. 2)
One atom of each set of equivalent atoms:
Zn 0.0000 0.0000 0.0000 (multiplicity 1)  6 F 1.97
Ag 0.5000 0.5000 0.5000 (multiplicity 1)  6 F 2.00-2.01
F 0.0698 0.7518 0.7537 (multiplicity 2)  1 Zn 1.97, 1 Ag 2.01
F 0.2485 0.5750 0.2459 (multiplicity 2)  1 Zn 1.97, 1 Ag 2.00
F 0.4244 0.0703 0.7538 (multiplicity 2)  1 Zn 1.97, 1 Ag 2.00



18.
Here is LuTlFeTe3 after structural relaxation from OQMD via LeMat-Bulk. Energies are from PBE.

Calculated values
Crystal system: orthorhombic
Volume in Å³ per cell: 753
Total energy in eV per cell: -112.80

Unit cell a=4.2722 b=15.7502 c=11.1931 alpha=90.00 beta=90.00 gamma=90.00
Closest atoms and distances in Å follow each position.
Space group Cmcm (No. 63)
One atom of each set of equivalent atoms:
Lu 0.0000 0.0000 0.0000 (multiplicity 4)  6 Te 3.03
Tl 0.0000 0.2427 0.2500 (multiplicity 4)  6 Te 3.49-3.60
Fe 0.0000 0.4701 0.7500 (multiplicity 4)  4 Te 2.62-2.68
Te 0.0000 0.0731 0.7500 (multiplicity 4)  2 Fe 2.68
Te 0.0000 0.3710 0.5621 (multiplicity 8)  1 Fe 2.62



19.
Here is YCuRe2 after structural relaxation from OQMD via LeMat-Bulk. Energies are from PBE.

Calculated values
Crystal system: cubic
Energy of formation from the pure elements in eV/atom: 0.29
Volume in Å³ per cell: 265
Total energy in eV per cell: -135.47

Unit cell a=6.4248 b=6.4248 c=6.4248 alpha=90.00 beta=90.00 gamma=90.00
Closest atoms and distances in Å follow each position.
Space group F-43m (No. 216)
One atom of each set of equivalent atoms:
Y 0.0000 0.0000 0.0000 (multiplicity 4)  4 Re 2.78, 4 Cu 2.78
Cu 0.2500 0.2500 0.2500 (multiplicity 4)  4 Re 2.78, 4 Y 2.78
Re 0.0000 0.0000 0.5000 (multiplicity 4)  4 Re 2.78, 4 Cu 2.78
Re 0.2500 0.2500 0.7500 (multiplicity 4)  4 Re 2.78, 4 Y 2.78



20.
Here is Ba2CdWS6 after structural relaxation from OQMD via LeMat-Bulk. Energies are from PBE.

Calculated values
Crystal system: cubic
Volume in Å³ per cell: 992
Total energy in eV per cell: -209.55

Unit cell a=9.9742 b=9.9742 c=9.9742 alpha=90.00 beta=90.00 gamma=90.00
Closest atoms and distances in Å follow each position.
Space group Fm-3m (No. 225)
One atom of each set of equivalent atoms:
Ba 0.2500 0.2500 0.2500 (multiplicity 8)  12 S 3.53
Cd 0.0000 0.0000 0.0000 (multiplicity 4)  6 S 2.61
W 0.0000 0.0000 0.5000 (multiplicity 4)  6 S 2.38
S 0.0000 0.0000 0.2615 (multiplicity 24)  1 W 2.38, 1 Cd 2.61



21.
Here is SbPd2W after structural relaxation from OQMD via LeMat-Bulk. Energies are from PBE.

Calculated values
Crystal system: cubic
Volume in Å³ per cell: 269
Total energy in eV per cell: -107.53

Unit cell a=6.4565 b=6.4565 c=6.4565 alpha=90.00 beta=90.00 gamma=90.00
Closest atoms and distances in Å follow each position.
Space group F-43m (No. 216)
One atom of each set of equivalent atoms:
Sb 0.0000 0.0000 0.0000 (multiplicity 4)  4 Pd 2.80, 4 W 2.80
Pd 0.0000 0.0000 0.5000 (multiplicity 4)  4 W 2.80, 4 Pd 2.80
Pd 0.2500 0.2500 0.7500 (multiplicity 4)  4 Sb 2.80, 4 Pd 2.80
W 0.2500 0.2500 0.2500 (multiplicity 4)  4 Sb 2.80, 4 Pd 2.80